# AcPu4Sn5

A geometry-optimized AcPu4Sn5 structure (PBE-GGA, Alexandria).

a = 3.4668 Å, b = 3.4668 Å, c = 22.9489 Å
α = 90.00°, β = 90.00°, γ = 90.00°
Fractional positions:
Pu 0.0000 0.0000 0.5975
Pu 0.0000 0.0000 0.2065
Pu 0.0000 0.0000 0.7935
Pu 0.0000 0.0000 0.4025
Sn 0.5000 0.5000 0.6953
Sn 0.5000 0.5000 0.3047
Sn 0.5000 0.5000 0.1099
Sn 0.5000 0.5000 0.5000
Sn 0.5000 0.5000 0.8901
Ac 0.0000 0.0000 0.0000

Calculated values
- SG = No. 123
- energy of formation (eV per atom) = -0.40
- energy (eV per formula unit) = -85.5